<a>
A relaxed LaSmNi4 crystal. Source: Alexandria, functional PBE.

Total magnetic moment ... 0.38 μB/f.u.

Cell: 3.9012 4.0725 7.0519 Å, 90.00 90.00 90.00°
With the nearest neighbours (Å) after each atom.
Space group Pmmm (No. 47)
Asymmetric unit:
La 0.0000 0.0000 0.0000  12 Ni 3.06-3.07
Sm 0.0000 0.5000 0.5000  12 Ni 3.04-3.05
Ni 0.5000 0.0000 0.3358  3 Ni 2.32-2.35
Ni 0.5000 0.5000 0.1696  3 Ni 2.35-2.39


<b>
A relaxed LaSmNi4 crystal. Source: Alexandria, functional PBE.

Total magnetic moment ... 0.00 μB/f.u.

Cell: 7.3169 7.3169 7.3169 Å, 90.00 90.00 90.00°
With the nearest neighbours (Å) after each atom.
Space group F-43m (No. 216)
Asymmetric unit:
La 0.0000 0.0000 0.0000  12 Ni 3.03, 4 Sm 3.17
Sm 0.2500 0.2500 0.2500  12 Ni 3.03, 4 La 3.17
Ni 0.1246 0.1246 0.6246  6 Ni 2.58-2.60


Most favorable structure: <b>. The second most favorable one is 0.8 kJ/mol of atoms above it.


<a>
A relaxed LaSm2Ni crystal. Source: Alexandria, functional PBE.

Total magnetic moment ... 0.00 μB/f.u.

Cell: 7.0348 9.9043 6.5639 Å, 90.00 90.00 90.00°
With the nearest neighbours (Å) after each atom.
Space group Pnma (No. 62)
Asymmetric unit:
La 0.0374 0.2500 0.1421  2 Ni 2.78-2.98
Sm 0.1726 0.0673 0.6736  2 Ni 2.82-2.90
Ni 0.1174 0.7500 0.4347  2 La 2.78-2.98, 4 Sm 2.82-2.90


<b>
A relaxed LaSm2Ni crystal. Source: Alexandria, functional PBE.

Total magnetic moment ... 0.00 μB/f.u.

Cell: 3.9019 3.9019 27.7628 Å, 90.00 90.00 120.00°
With the nearest neighbours (Å) after each atom.
Space group R3m (No. 160, hexagonal axes)
Asymmetric unit:
La 0.0000 0.0000 0.0000  6 Sm 3.72-3.83, 6 La 3.90
Sm 0.0000 0.0000 0.5549  3 Ni 2.77
Sm 0.0000 0.0000 0.7733  3 Ni 2.75
Ni 0.0000 0.0000 0.1635  6 Sm 2.75-2.77


Most favorable structure: <a>. The second most favorable one is 11.3 kJ/mol of atoms above it.


<a>
A relaxed La2NiSn3 crystal. Source: Alexandria, functional PBE.

Total magnetic moment ... 0.00 μB/f.u.

Cell: 4.4382 4.6496 7.9458 Å, 90.00 90.00 90.00°
With the nearest neighbours (Å) after each atom.
Space group Pmm2 (No. 25)
Asymmetric unit:
La 0.0000 0.0000 0.0000  2 Ni 3.22, 8 Sn 3.51-3.52
La 0.0000 0.5000 0.4825  8 Sn 3.28-3.48, 4 Ni 3.55
Ni 0.5000 0.0000 0.2932  3 Sn 2.50-2.51
Sn 0.5000 0.0000 0.6096  1 Ni 2.51
Sn 0.5000 0.5000 0.1782  2 Ni 2.50
Sn 0.5000 0.5000 0.8199  3 Sn 2.85-2.86


<b>
A relaxed La2NiSn3 crystal. Source: Alexandria, functional PBE.

Total magnetic moment ... 0.00 μB/f.u.

Cell: 11.5980 4.6654 7.6206 Å, 90.00 130.69 90.00°
With the nearest neighbours (Å) after each atom.
Space group Cm (No. 8)
Asymmetric unit:
La 0.0000 0.0000 0.0000  9 Sn 3.32-3.64, 3 Ni 3.56-3.61, 1 La 3.71
La 0.1247 0.0000 0.6587  3 Ni 3.22-3.53, 8 Sn 3.23-3.58
Ni 0.3792 0.0000 0.2144  4 Sn 2.57-2.66
Sn 0.1628 0.5000 0.4070  1 Ni 2.58
Sn 0.2563 0.5000 0.0920  2 Ni 2.57
Sn 0.3809 0.0000 0.5647  1 Ni 2.66


Most favorable structure: <b>. The second most favorable one is 0.7 kJ/mol of atoms above it.


<a>
A relaxed LaNi3Sn crystal. Source: Alexandria, functional PBE.

Total magnetic moment ... 0.00 μB/f.u.

Cell: 4.7783 4.7783 4.7783 Å, 90.00 90.00 90.00°
With the nearest neighbours (Å) after each atom.
Space group Pm-3m (No. 221)
Asymmetric unit:
La 0.0000 0.0000 0.0000  6 Ni 2.39
Ni 0.0000 0.0000 0.5000  2 La 2.39
Sn 0.5000 0.5000 0.5000  12 Ni 3.38


<b>
A relaxed LaNi3Sn crystal. Source: Alexandria, functional PBE.

Total magnetic moment ... 0.00 μB/f.u.

Cell: 5.0297 7.3569 5.1781 Å, 90.00 90.00 90.00°
With the nearest neighbours (Å) after each atom.
Space group Cmmm (No. 65)
Asymmetric unit:
La 0.0000 0.0000 0.0000  2 Ni 2.51
Ni 0.0000 0.1654 0.5000  1 Ni 2.43, 1 Sn 2.46
Ni 0.0000 0.5000 0.0000  2 La 2.51, 2 Sn 2.59
Sn 0.0000 0.5000 0.5000  4 Ni 2.46-2.59


<c>
A relaxed LaNi3Sn crystal. Source: Alexandria, functional PBE.

Total magnetic moment ... 0.00 μB/f.u.

Cell: 4.7258 4.7258 4.7258 Å, 90.00 90.00 90.00°
With the nearest neighbours (Å) after each atom.
Space group Pm-3m (No. 221)
Asymmetric unit:
La 0.0000 0.0000 0.0000  12 Ni 3.34
Ni 0.0000 0.5000 0.5000  2 Sn 2.36
Sn 0.5000 0.5000 0.5000  6 Ni 2.36


Most favorable structure: <b>. The second most favorable one is 22.6 kJ/mol of atoms above it.


<a>
A relaxed La4NiSn crystal. Source: Alexandria, functional PBE.

Total magnetic moment ... 0.00 μB/f.u.

Cell: 15.8521 6.0734 8.0997 Å, 90.00 106.41 90.00°
With the nearest neighbours (Å) after each atom.
Space group C2/c (No. 15)
Asymmetric unit:
La 0.0806 0.1405 0.4407  1 Ni 2.67
La 0.1765 0.3838 0.1351  2 Ni 2.87-2.97
Ni 0.2500 0.2500 0.5000  6 La 2.67-2.97
Sn 0.0000 0.3611 0.7500  10 La 3.39-3.56


<b>
A relaxed La4NiSn crystal. Source: Alexandria, functional PBE.

Total magnetic moment ... 0.00 μB/f.u.

Cell: 6.0019 7.0872 8.7701 Å, 90.00 101.47 90.00°
With the nearest neighbours (Å) after each atom.
Space group P2_1/m (No. 11)
Asymmetric unit:
La 0.1058 0.2500 0.0424  1 Ni 2.69
La 0.1973 0.7500 0.3900  1 Ni 3.28, 4 Sn 3.33-3.56
La 0.3724 0.5070 0.7727  2 Ni 2.73-3.01
Ni 0.3496 0.7500 0.0511  5 La 2.69-3.01
Sn 0.2362 0.2500 0.4240  9 La 3.28-3.62


Most favorable structure: <b>. The second most favorable one is 4.1 kJ/mol of atoms above it.


<a>
A relaxed La2Ni3Sn5 crystal. Source: Alexandria, functional PBE.

Total magnetic moment ... 0.00 μB/f.u.

Cell: 10.5995 12.8715 6.4724 Å, 90.00 90.00 90.00°
With the nearest neighbours (Å) after each atom.
Space group Ibam (No. 72)
Asymmetric unit:
La 0.2382 0.1398 0.0000  10 Sn 3.18-3.55, 3 Ni 3.33-3.52
Ni 0.0000 0.5000 0.2500  4 Sn 2.62
Ni 0.1087 0.1340 0.5000  5 Sn 2.52-2.63
Sn 0.0000 0.0000 0.2500  4 Ni 2.63
Sn 0.0000 0.2618 0.2500  2 Ni 2.58
Sn 0.1593 0.4076 0.0000  3 Ni 2.52-2.62


<b>
A relaxed La2Ni3Sn5 crystal. Source: Alexandria, functional PBE.

Total magnetic moment ... 0.00 μB/f.u.

Cell: 4.5090 26.6208 7.2675 Å, 90.00 90.00 90.00°
With the nearest neighbours (Å) after each atom.
Space group Cmc2_1 (No. 36)
Asymmetric unit:
La 0.0000 0.0264 0.0000  3 Ni 2.83-3.12
La 0.0000 0.3278 0.9895  9 Sn 3.23-3.60, 4 Ni 3.32-3.61
Ni 0.0000 0.1067 0.2564  4 Sn 2.63-2.77, 1 La 2.83
Ni 0.0000 0.2779 0.4726  7 Sn 2.65-2.87
Ni 0.0000 0.4488 0.2170  5 Sn 2.61-2.83
Sn 0.0000 0.0933 0.6227  3 Ni 2.61-2.69
Sn 0.0000 0.2037 0.1854  4 Ni 2.63-2.87
Sn 0.0000 0.2133 0.7703  3 Ni 2.70-2.76
Sn 0.0000 0.3773 0.4961  2 Ni 2.65-2.78
Sn 0.0000 0.4500 0.8350  4 Ni 2.77-2.83


Most favorable structure: <a>. The second most favorable one is 3.9 kJ/mol of atoms above it.


<a>
A relaxed La3Ni3Sn crystal. Source: Alexandria, functional PBE.

Total magnetic moment ... 0.00 μB/f.u.

Cell: 9.7960 9.7960 4.1497 Å, 90.00 90.00 120.00°
With the nearest neighbours (Å) after each atom.
Space group P6_3/m (No. 176)
Asymmetric unit:
La 0.0597 0.6873 0.2500  4 Ni 2.86-3.01
Ni 0.0186 0.8648 0.7500  6 Ni 2.47-2.52
Sn 0.3333 0.6667 0.7500  9 La 3.47-3.67


<b>
A relaxed La3Ni3Sn crystal. Source: Alexandria, functional PBE.

Total magnetic moment ... 0.00 μB/f.u.

Cell: 8.8057 8.8057 5.5478 Å, 90.00 90.00 120.00°
With the nearest neighbours (Å) after each atom.
Space group P6_3/m (No. 176)
Asymmetric unit:
La 0.0535 0.3576 0.2500  5 Ni 2.78-3.04
Ni 0.0491 0.3691 0.7500  1 Sn 2.56, 2 La 2.78
Sn 0.3333 0.6667 0.7500  3 Ni 2.56


Most favorable structure: <a>. The second most favorable one is 21.3 kJ/mol of atoms above it.


<a>
A relaxed La2NiSn6 crystal. Source: Alexandria, functional PBE.

Total magnetic moment ... 0.00 μB/f.u.

Cell: 4.5218 4.5060 23.8713 Å, 90.00 90.00 90.00°
With the nearest neighbours (Å) after each atom.
Space group Amm2 (No. 38)
Asymmetric unit:
La 0.0000 0.0000 0.0000  10 Sn 3.39-3.75, 4 Ni 3.48
La 0.0000 0.0000 0.3374  10 Sn 3.31-3.56
Ni 0.5000 0.0000 0.5576  5 Sn 2.50-2.60
Sn 0.0000 0.0000 0.6111  2 Ni 2.60, 1 Sn 2.90
Sn 0.0000 0.0000 0.7324  5 Sn 2.90-3.19
Sn 0.5000 0.0000 0.1111  2 Ni 2.59
Sn 0.5000 0.0000 0.2328  5 Sn 2.91-3.19
Sn 0.5000 0.0000 0.4526  1 Ni 2.50
Sn 0.5000 0.0000 0.8746  2 Sn 2.92


<b>
A relaxed La2NiSn6 crystal. Source: Alexandria, functional PBE.

Total magnetic moment ... 0.00 μB/f.u.

Cell: 7.8951 15.0405 4.3130 Å, 90.00 90.00 90.00°
With the nearest neighbours (Å) after each atom.
Space group Cmmm (No. 65)
Asymmetric unit:
La 0.0000 0.1785 0.0000  10 Sn 3.32-3.64
Ni 0.0000 0.5000 0.5000  8 Sn 2.71-2.72
Sn 0.1837 0.3478 0.5000  1 Ni 2.71, 1 Sn 2.90
Sn 0.2091 0.5000 0.0000  2 Ni 2.72


Most favorable structure: <a>. The second most favorable one is 15.4 kJ/mol of atoms above it.